Run i
# Mg2ScCl (PBE-GGA, relaxed)
data_Mg2ScCl
_chemical_formula_sum 'Mg2 Sc1 Cl1'
_cell_length_a 3.256
_cell_length_b 5.733
_cell_length_c 5.120
_cell_angle_alpha 90.00
_cell_angle_beta 95.64
_cell_angle_gamma 90.00
_space_group_name_H-M_alt 'P 1 2/m 1'
_space_group_IT_number 10
loop_
_space_group_symop_operation_xyz
'x,y,z'
'-x,-y,-z'
'-x,y,-z'
'x,-y,z'
loop_
_atom_site_label
_atom_site_type_symbol
_atom_site_fract_x
_atom_site_fract_y
_atom_site_fract_z
Mg1 Mg 0.215 0.000 0.248
Sc1 Sc 0.500 0.500 0.000
Cl1 Cl 0.500 0.500 0.500
# Total moment ... 0.0 μB per formula unit

Run ii
# Mg2ScCl (PBE-GGA, relaxed)
data_Mg2ScCl
_chemical_formula_sum 'Mg6 Sc3 Cl3'
_cell_length_a 3.3836
_cell_length_b 3.3836
_cell_length_c 27.4419
_cell_angle_alpha 90.00
_cell_angle_beta 90.00
_cell_angle_gamma 120.00
_space_group_name_H-M_alt 'R -3 m'
_space_group_IT_number 166
_space_group_name_Hall '-R 3 2"'
loop_
_atom_site_label
_atom_site_type_symbol
_atom_site_fract_x
_atom_site_fract_y
_atom_site_fract_z
Mg1 Mg 0.0000 0.0000 0.2420
Sc1 Sc 0.0000 0.0000 0.0000
Cl1 Cl 0.0000 0.0000 0.5000
# Total moment ... 0.4 μB per formula unit

Run iii
# Mg2ScCl (PBE-GGA, relaxed)
data_Mg2ScCl
_chemical_formula_sum 'Mg2 Sc1 Cl1'
_cell_length_a 3.288
_cell_length_b 3.288
_cell_length_c 8.939
_cell_angle_alpha 90.00
_cell_angle_beta 90.00
_cell_angle_gamma 90.00
_space_group_name_H-M_alt 'P 4 m m'
_space_group_IT_number 99
loop_
_space_group_symop_operation_xyz
'x,y,z'
'-y,x,z'
'-x,-y,z'
'y,-x,z'
'-x,y,z'
'y,x,z'
'x,-y,z'
'-y,-x,z'
loop_
_atom_site_label
_atom_site_type_symbol
_atom_site_fract_x
_atom_site_fract_y
_atom_site_fract_z
Mg1 Mg 0.000 0.000 0.000
Mg2 Mg 0.500 0.500 0.227
Sc1 Sc 0.000 0.000 0.474
Cl1 Cl 0.500 0.500 0.628
# Total moment ... 0.3 μB per formula unit

Run iv
# Mg2ScCl (PBE-GGA, relaxed)
data_Mg2ScCl
_chemical_formula_sum 'Mg2 Sc1 Cl1'
_cell_length_a 3.164
_cell_length_b 4.907
_cell_length_c 5.855
_cell_angle_alpha 90.00
_cell_angle_beta 90.00
_cell_angle_gamma 90.00
_space_group_name_H-M_alt 'P m m m'
_space_group_IT_number 47
loop_
_space_group_symop_operation_xyz
'x,y,z'
'-x,-y,-z'
'-x,-y,z'
'x,y,-z'
'x,-y,-z'
'-x,y,z'
'-x,y,-z'
'x,-y,z'
loop_
_atom_site_label
_atom_site_type_symbol
_atom_site_fract_x
_atom_site_fract_y
_atom_site_fract_z
Mg1 Mg 0.000 0.000 0.000
Mg2 Mg 0.500 0.500 0.000
Sc1 Sc 0.000 0.500 0.500
Cl1 Cl 0.500 0.000 0.500
# Total moment ... 0.2 μB per formula unit

It is run iv that is the least stable of them.

Run i
# Mg2ScCl (PBE-GGA, relaxed)
data_Mg2ScCl
_chemical_formula_sum 'Mg8 Sc4 Cl4'
_cell_length_a 7.444
_cell_length_b 7.444
_cell_length_c 7.444
_cell_angle_alpha 90.00
_cell_angle_beta 90.00
_cell_angle_gamma 90.00
_space_group_name_H-M_alt 'F m -3 m'
_space_group_IT_number 225
_space_group_name_Hall '-F 4 2 3'
loop_
_atom_site_label
_atom_site_type_symbol
_atom_site_fract_x
_atom_site_fract_y
_atom_site_fract_z
Mg1 Mg 0.250 0.250 0.250
Sc1 Sc 0.000 0.000 0.000
Cl1 Cl 0.000 0.000 0.500
# Total moment ... 1.0 μB per formula unit

Run ii
# Mg2ScCl (PBE-GGA, relaxed)
data_Mg2ScCl
_chemical_formula_sum 'Mg8 Sc4 Cl4'
_cell_length_a 7.185
_cell_length_b 7.185
_cell_length_c 7.185
_cell_angle_alpha 90.00
_cell_angle_beta 90.00
_cell_angle_gamma 90.00
_space_group_name_H-M_alt 'F -4 3 m'
_space_group_IT_number 216
_space_group_name_Hall 'F -4 2 3'
loop_
_atom_site_label
_atom_site_type_symbol
_atom_site_fract_x
_atom_site_fract_y
_atom_site_fract_z
Mg1 Mg 0.000 0.000 0.000
Mg2 Mg 0.250 0.250 0.250
Sc1 Sc 0.000 0.000 0.500
Cl1 Cl 0.250 0.250 0.750
# Total moment ... 0.0 μB per formula unit

Run iii
# Mg2ScCl (PBE-GGA, relaxed)
data_Mg2ScCl
_chemical_formula_sum 'Mg2 Sc1 Cl1'
_cell_length_a 3.298
_cell_length_b 5.085
_cell_length_c 5.659
_cell_angle_alpha 90.00
_cell_angle_beta 90.01
_cell_angle_gamma 90.00
_space_group_name_H-M_alt 'P 1 m 1'
_space_group_IT_number 6
loop_
_space_group_symop_operation_xyz
'x,y,z'
'x,-y,z'
loop_
_atom_site_label
_atom_site_type_symbol
_atom_site_fract_x
_atom_site_fract_y
_atom_site_fract_z
Mg1 Mg 0.000 0.000 0.000
Mg2 Mg 0.499 0.500 0.902
Sc1 Sc 0.999 0.500 0.390
Cl1 Cl 0.998 0.000 0.466
# Total moment ... 0.0 μB per formula unit

It is run i that is the least stable of them.

Run i
# MgSe2Cl (PBE-GGA, relaxed)
data_MgSe2Cl
_chemical_formula_sum 'Mg1 Se2 Cl1'
_cell_length_a 3.239
_cell_length_b 3.239
_cell_length_c 8.992
_cell_angle_alpha 90.00
_cell_angle_beta 90.00
_cell_angle_gamma 90.00
_space_group_name_H-M_alt 'P 4 m m'
_space_group_IT_number 99
loop_
_space_group_symop_operation_xyz
'x,y,z'
'-y,x,z'
'-x,-y,z'
'y,-x,z'
'-x,y,z'
'y,x,z'
'x,-y,z'
'-y,-x,z'
loop_
_atom_site_label
_atom_site_type_symbol
_atom_site_fract_x
_atom_site_fract_y
_atom_site_fract_z
Mg1 Mg 0.000 0.000 0.000
Se1 Se 0.000 0.000 0.407
Se2 Se 0.500 0.500 0.201
Cl1 Cl 0.500 0.500 0.842
# Total moment ... 0.0 μB per formula unit

Run ii
# MgSe2Cl (PBE-GGA, relaxed)
data_MgSe2Cl
_chemical_formula_sum 'Mg1 Se2 Cl1'
_cell_length_a 3.822
_cell_length_b 3.822
_cell_length_c 5.972
_cell_angle_alpha 90.00
_cell_angle_beta 90.00
_cell_angle_gamma 90.00
_space_group_name_H-M_alt 'P 4/m m m'
_space_group_IT_number 123
_space_group_name_Hall '-P 4 2'
loop_
_atom_site_label
_atom_site_type_symbol
_atom_site_fract_x
_atom_site_fract_y
_atom_site_fract_z
Mg1 Mg 0.000 0.000 0.000
Se1 Se 0.000 0.500 0.500
Cl1 Cl 0.500 0.500 0.000
# Total moment ... 0.0 μB per formula unit

Run iii
# MgSe2Cl (PBE-GGA, relaxed)
data_MgSe2Cl
_chemical_formula_sum 'Mg3 Se6 Cl3'
_cell_length_a 4.1618
_cell_length_b 4.1618
_cell_length_c 19.1088
_cell_angle_alpha 90.00
_cell_angle_beta 90.00
_cell_angle_gamma 120.00
_space_group_name_H-M_alt 'R -3 m'
_space_group_IT_number 166
_space_group_name_Hall '-R 3 2"'
loop_
_atom_site_label
_atom_site_type_symbol
_atom_site_fract_x
_atom_site_fract_y
_atom_site_fract_z
Mg1 Mg 0.0000 0.0000 0.0000
Se1 Se 0.0000 0.0000 0.2712
Cl1 Cl 0.0000 0.0000 0.5000
# Total moment ... 0.0 μB per formula unit

It is run iii that is the least stable of them.

Run i
# MgSe2Cl (PBE-GGA, relaxed)
data_MgSe2Cl
_chemical_formula_sum 'Mg2 Se4 Cl2'
_cell_length_a 4.869
_cell_length_b 8.867
_cell_length_c 4.814
_cell_angle_alpha 90.00
_cell_angle_beta 90.00
_cell_angle_gamma 90.00
_space_group_name_H-M_alt 'C m m m'
_space_group_IT_number 65
_space_group_name_Hall '-C 2 2'
loop_
_atom_site_label
_atom_site_type_symbol
_atom_site_fract_x
_atom_site_fract_y
_atom_site_fract_z
Mg1 Mg 0.000 0.000 0.000
Se1 Se 0.250 0.250 0.500
Cl1 Cl 0.000 0.500 0.000
# Total moment ... 0.0 μB per formula unit

Run ii
# MgSe2Cl (PBE-GGA, relaxed)
data_MgSe2Cl
_chemical_formula_sum 'Mg1 Se2 Cl1'
_cell_length_a 4.744
_cell_length_b 4.300
_cell_length_c 5.215
_cell_angle_alpha 90.00
_cell_angle_beta 109.54
_cell_angle_gamma 90.00
_space_group_name_H-M_alt 'P 1 2/m 1'
_space_group_IT_number 10
loop_
_space_group_symop_operation_xyz
'x,y,z'
'-x,-y,-z'
'-x,y,-z'
'x,-y,z'
loop_
_atom_site_label
_atom_site_type_symbol
_atom_site_fract_x
_atom_site_fract_y
_atom_site_fract_z
Mg1 Mg 0.000 0.000 0.000
Se1 Se 0.165 0.500 0.375
Cl1 Cl 0.500 0.000 0.000
# Total moment ... 0.0 μB per formula unit

It is run i that is the least stable of them.

Run i
# MgSeCl3 (PBE-GGA, relaxed)
data_MgSeCl3
_chemical_formula_sum 'Mg1 Se1 Cl3'
_cell_length_a 5.176
_cell_length_b 5.176
_cell_length_c 5.176
_cell_angle_alpha 90.00
_cell_angle_beta 90.00
_cell_angle_gamma 90.00
_space_group_name_H-M_alt 'P m -3 m'
_space_group_IT_number 221
_space_group_name_Hall '-P 4 2 3'
loop_
_atom_site_label
_atom_site_type_symbol
_atom_site_fract_x
_atom_site_fract_y
_atom_site_fract_z
Mg1 Mg 0.000 0.000 0.000
Se1 Se 0.500 0.500 0.500
Cl1 Cl 0.000 0.500 0.500
# Total moment ... 0.7 μB per formula unit

Run ii
# MgSeCl3 (PBE-GGA, relaxed)
data_MgSeCl3
_chemical_formula_sum 'Mg1 Se1 Cl3'
_cell_length_a 4.996
_cell_length_b 4.996
_cell_length_c 4.996
_cell_angle_alpha 90.00
_cell_angle_beta 90.00
_cell_angle_gamma 90.00
_space_group_name_H-M_alt 'P m -3 m'
_space_group_IT_number 221
_space_group_name_Hall '-P 4 2 3'
loop_
_atom_site_label
_atom_site_type_symbol
_atom_site_fract_x
_atom_site_fract_y
_atom_site_fract_z
Mg1 Mg 0.000 0.000 0.000
Se1 Se 0.500 0.500 0.500
Cl1 Cl 0.000 0.000 0.500
# Total moment ... 3.0 μB per formula unit

It is run i that is the least stable of them.